Crystalline CrCoW2 at its relaxed geometry, computed with PBE-GGA.

The structure in extended XYZ format:
```
8
Lattice="9.025 0.000 0.000 0.000 2.684 0.000 -0.888 0.000 4.538" Properties=species:S:1:pos:R:3 pbc="T T T"
Cr 0.000 0.000 0.000
Cr 4.512 1.342 0.000
Co 1.862 0.000 3.351
Co 6.374 1.342 3.351
W -0.155 1.342 2.417
W 2.175 1.342 1.022
W 4.357 0.000 2.417
W 6.688 0.000 1.022
```

Computed properties:
Calculated total energy, eV per cell: -83.354
Space-group type: Cm, No. 8
Energy relative to the lowest polymorph listed for this composition, eV/f.u.: 0.38